Record 1
Here is an optimized crystal structure of BaNaTl2Cu from the Alexandria database. Energies are from PBE-GGA.

Properties
total moment: 0.000 Bohr magnetons per cell
formation energy from the elements: -0.04 eV per atom

Cell lengths 5.317, 5.317, 5.447 Å; angles 90.00, 90.00, 90.00 degrees
Positions (direct):
Ba1 0.000 0.000 0.000
Na1 0.500 0.500 0.000
Tl1 0.000 0.500 0.500
Tl2 0.500 0.000 0.500
Cu1 0.500 0.500 0.500

=====

Record 2
Here is an optimized crystal structure of Ba2NaTlCu from the Alexandria database. Energies are from PBE-GGA.

Properties
energy above the lowest structure with this stoichiometry: 58 meV per atom
total moment: 0.000 Bohr magnetons per cell
formation energy from the elements: 0.02 eV per atom

Cell lengths 6.241, 6.241, 5.250 Å; angles 90.00, 90.00, 90.00 degrees
Positions (direct):
Ba1 0.000 0.500 0.000
Ba2 0.500 0.000 0.000
Na1 0.000 0.000 0.500
Tl1 0.500 0.500 0.500
Cu1 0.000 0.000 0.000

=====

Record 3
Here is an optimized crystal structure of BaNaZn2Cu from the Alexandria database. Energies are from PBE-GGA.

Properties
total moment: 0.000 Bohr magnetons per cell
formation energy from the elements: 0.03 eV per atom

Cell lengths 4.887, 4.887, 5.323 Å; angles 90.00, 90.00, 90.00 degrees
Positions (direct):
Ba1 0.000 0.000 0.000
Na1 0.500 0.500 0.000
Zn1 0.000 0.500 0.500
Zn2 0.500 0.000 0.500
Cu1 0.500 0.500 0.500

=====

Record 4
Here is an optimized crystal structure of BaNbCu from the Alexandria database. Energies are from PBE-GGA.

Properties
energy above the lowest structure with this stoichiometry: 1011 meV per atom
total moment: 0.000 Bohr magnetons per cell
formation energy from the elements: 1.37 eV per atom

Cell lengths 6.774, 6.774, 6.774 Å; angles 90.00, 90.00, 90.00 degrees
Positions (direct):
Ba1 0.000 0.000 0.000
Ba2 0.000 0.500 0.500
Ba3 0.500 0.000 0.500
Ba4 0.500 0.500 0.000
Nb1 0.250 0.250 0.750
Nb2 0.250 0.750 0.250
Nb3 0.750 0.250 0.250
Nb4 0.750 0.750 0.750
Cu1 0.000 0.000 0.500
Cu2 0.000 0.500 0.000
Cu3 0.500 0.000 0.000
Cu4 0.500 0.500 0.500

=====

Record 5
Here is an optimized crystal structure of BaNbCu from the Alexandria database. Energies are from PBE-GGA.

Properties
energy above the lowest structure with this stoichiometry: 138 meV per atom
total moment: 0.000 Bohr magnetons per cell
formation energy from the elements: 0.50 eV per atom

Cell lengths 3.616, 3.616, 11.778 Å; angles 90.00, 90.00, 90.00 degrees
Positions (direct):
Ba1 0.000 0.000 0.178
Ba2 0.000 0.000 0.822
Nb1 0.500 0.500 0.403
Nb2 0.500 0.500 0.597
Cu1 0.000 0.000 0.500
Cu2 0.500 0.500 0.000

=====

Record 6
Here is an optimized crystal structure of BaNbCu from the Alexandria database. Energies are from PBE-GGA.

Properties
energy above the lowest structure with this stoichiometry: 77 meV per atom
total moment: 0.000 Bohr magnetons per cell
formation energy from the elements: 0.44 eV per atom

Cell lengths 12.899, 3.600, 8.282 Å; angles 90.00, 123.54, 90.00 degrees
Positions (direct):
Ba1 0.077 0.000 0.292
Ba2 0.423 0.500 0.708
Ba3 0.577 0.500 0.292
Ba4 0.923 0.000 0.708
Nb1 0.221 0.500 0.081
Nb2 0.279 0.000 0.919
Nb3 0.721 0.000 0.081
Nb4 0.779 0.500 0.919
Cu1 0.114 0.500 0.666
Cu2 0.386 0.000 0.334
Cu3 0.614 0.000 0.666
Cu4 0.886 0.500 0.334

=====

Record 7
Here is an optimized crystal structure of BaNb3Cu from the Alexandria database. Energies are from PBE-GGA.

Properties
energy above the lowest structure with this stoichiometry: 1401 meV per atom
total moment: 0.000 Bohr magnetons per cell
formation energy from the elements: 2.66 eV per atom

Cell lengths 5.032, 5.032, 5.032 Å; angles 90.00, 90.00, 90.00 degrees
Positions (direct):
Ba1 0.000 0.000 0.000
Nb1 0.000 0.000 0.500
Nb2 0.000 0.500 0.000
Nb3 0.500 0.000 0.000
Cu1 0.500 0.500 0.500

=====

Record 8
Here is an optimized crystal structure of BaNbCu from the Alexandria database. Energies are from PBE-GGA.

Properties
energy above the lowest structure with this stoichiometry: 1409 meV per atom
total moment: 16.741 Bohr magnetons per cell
formation energy from the elements: 1.77 eV per atom

Cell lengths 7.364, 7.364, 7.364 Å; angles 90.00, 90.00, 90.00 degrees
Positions (direct):
Ba1 0.000 0.000 0.000
Ba2 0.000 0.500 0.500
Ba3 0.500 0.000 0.500
Ba4 0.500 0.500 0.000
Nb1 0.250 0.250 0.750
Nb2 0.250 0.750 0.250
Nb3 0.750 0.250 0.250
Nb4 0.750 0.750 0.750
Cu1 0.250 0.250 0.250
Cu2 0.250 0.750 0.750
Cu3 0.750 0.250 0.750
Cu4 0.750 0.750 0.250

=====

- Among the records above, which one has the highest total moment?
  number 8